[1]
Computed, not measured: a relaxed structure of PmPrSbAs at the GGA-PBE level of DFT.

It has space group P4/mmm (No. 123), with a = 4.401 Å, b = 4.401 Å, c = 6.246 Å, α = 90.00°, β = 90.00° and γ = 90.00°. The inequivalent atoms are Pm at (0.000, 0.000, 0.000), Pr at (0.500, 0.500, 0.500), Sb at (0.500, 0.500, 0.000) and As at (0.000, 0.000, 0.500).

The uncorrected formation energy is -1308 meV/atom. The electronic total energy comes out at -5.88 eV/atom.


[2]
Computed, not measured: a relaxed structure of PmPr2ScAs4 at the GGA-PBE level of DFT.

It has space group P2/m (No. 10), with a = 7.252 Å, b = 4.200 Å, c = 7.258 Å, α = 90.00°, β = 109.51° and γ = 90.00°. The inequivalent atoms are Pm at (0.000, 0.000, 0.000), Pr at (0.500, 0.000, 0.500), Pr at (0.500, 0.500, 0.000), Sc at (0.000, 0.500, 0.500), As at (0.232, 0.000, 0.734) and As at (0.239, 0.500, 0.256).

For the energy relative to the elements, the calculation gives -1.43 eV/atom. The electronic total energy comes out at -6.34 eV/atom.


[3]
Computed, not measured: a relaxed structure of Pm2PrScAs4 at the GGA-PBE level of DFT.

It has space group P2/m (No. 10), with a = 7.225 Å, b = 4.184 Å, c = 7.230 Å, α = 90.00°, β = 109.48° and γ = 90.00°. The inequivalent atoms are Pm at (0.000, 0.000, 0.000), Pm at (0.500, 0.500, 0.000), Pr at (0.000, 0.500, 0.500), Sc at (0.500, 0.000, 0.500), As at (0.260, 0.000, 0.746) and As at (0.265, 0.500, 0.263).

For the energy relative to the elements, the calculation gives -1.44 eV/atom. The electronic total energy comes out at -6.34 eV/atom.


[4]
Computed, not measured: a relaxed structure of PmPrAsSe at the GGA-PBE level of DFT.

It has space group R3m (No. 160, hexagonal axes), with a = 4.2472 Å, b = 4.2472 Å, c = 20.9804 Å, α = 90.00°, β = 90.00° and γ = 120.00°. The inequivalent atoms are Pm at (0.0000, 0.0000, 0.0000), Pr at (0.0000, 0.0000, 0.5073), As at (0.0000, 0.0000, 0.2553) and Se at (0.0000, 0.0000, 0.7520).

The uncorrected formation energy is -1735 meV/atom. The electronic total energy comes out at -6.15 eV/atom.


[5]
Computed, not measured: a relaxed structure of Pm2Pr3SmAs6 at the GGA-PBE level of DFT.

It has space group C2/m (No. 12), with a = 18.605 Å, b = 4.272 Å, c = 8.537 Å, α = 90.00°, β = 103.27° and γ = 90.00°. The inequivalent atoms are Pm at (0.166, 0.000, 0.333), Pr at (0.000, 0.500, 0.500), Pr at (0.167, 0.000, 0.833), Sm at (0.000, 0.500, 0.000), As at (0.001, 0.000, 0.247), As at (0.165, 0.500, 0.085) and As at (0.168, 0.500, 0.581).

For the energy relative to the elements, the calculation gives -1.51 eV/atom. The electronic total energy comes out at -6.22 eV/atom.


[6]
Computed, not measured: a relaxed structure of Pm2PrSm3As6 at the GGA-PBE level of DFT.

It has space group C2/m (No. 12), with a = 18.470 Å, b = 4.240 Å, c = 8.475 Å, α = 90.00°, β = 103.26° and γ = 90.00°. The inequivalent atoms are Pm at (0.167, 0.000, 0.334), Pr at (0.000, 0.500, 0.000), Sm at (0.000, 0.500, 0.500), Sm at (0.167, 0.000, 0.833), As at (0.000, 0.000, 0.254), As at (0.166, 0.500, 0.584) and As at (0.168, 0.500, 0.083).

For the energy relative to the elements, the calculation gives -1.52 eV/atom. The electronic total energy comes out at -6.22 eV/atom.


[7]
Computed, not measured: a relaxed structure of Pm2PrSmAs4 at the GGA-PBE level of DFT.

It has space group P2/m (No. 10), with a = 7.360 Å, b = 4.253 Å, c = 7.360 Å, α = 90.00°, β = 109.46° and γ = 90.00°. The inequivalent atoms are Pm at (0.000, 0.000, 0.000), Pm at (0.000, 0.500, 0.500), Pr at (0.500, 0.000, 0.500), Sm at (0.500, 0.500, 0.000), As at (0.248, 0.500, 0.247) and As at (0.250, 0.000, 0.752).

For the energy relative to the elements, the calculation gives -1.52 eV/atom. The electronic total energy comes out at -6.22 eV/atom.


[8]
Computed, not measured: a relaxed structure of Tb3PmPr2As6 at the GGA-PBE level of DFT.

It has space group C2/m (No. 12), with a = 18.356 Å, b = 4.215 Å, c = 8.422 Å, α = 90.00°, β = 103.23° and γ = 90.00°. The inequivalent atoms are Tb at (0.000, 0.000, 0.000), Tb at (0.167, 0.500, 0.334), Pm at (0.000, 0.000, 0.500), Pr at (0.166, 0.500, 0.833), As at (0.002, 0.500, 0.247), As at (0.164, 0.000, 0.089) and As at (0.168, 0.000, 0.577).

For the energy relative to the elements, the calculation gives -1.52 eV/atom. The electronic total energy comes out at -6.19 eV/atom.


[9]
Computed, not measured: a relaxed structure of Pm2Pr3ThAs6 at the GGA-PBE level of DFT.

It has space group C2/m (No. 12), with a = 18.629 Å, b = 4.277 Å, c = 8.558 Å, α = 90.00°, β = 103.30° and γ = 90.00°. The inequivalent atoms are Pm at (0.168, 0.000, 0.335), Pr at (0.000, 0.500, 0.500), Pr at (0.168, 0.000, 0.831), Th at (0.000, 0.500, 0.000), As at (0.001, 0.000, 0.246), As at (0.165, 0.500, 0.085) and As at (0.167, 0.500, 0.581).

For the energy relative to the elements, the calculation gives -1.51 eV/atom. The electronic total energy comes out at -6.44 eV/atom.


[10]
Computed, not measured: a relaxed structure of PmPr2ThAs4 at the GGA-PBE level of DFT.

It has space group P2/m (No. 10), with a = 7.398 Å, b = 4.280 Å, c = 7.408 Å, α = 90.00°, β = 109.43° and γ = 90.00°. The inequivalent atoms are Pm at (0.000, 0.000, 0.000), Pr at (0.000, 0.500, 0.500), Pr at (0.500, 0.000, 0.500), Th at (0.500, 0.500, 0.000), As at (0.250, 0.500, 0.245) and As at (0.253, 0.000, 0.755).

For the energy relative to the elements, the calculation gives -1.51 eV/atom. The electronic total energy comes out at -6.55 eV/atom.


[11]
Computed, not measured: a relaxed structure of Pm4PrTh3As8 at the GGA-PBE level of DFT.

It has space group R-3m (No. 166, hexagonal axes), with a = 8.5141 Å, b = 8.5141 Å, c = 20.7913 Å, α = 90.00°, β = 90.00° and γ = 120.00°. The inequivalent atoms are Pm at (0.0000, 0.0000, 0.0000), Pm at (0.0000, 0.5000, 0.0000), Pr at (0.0000, 0.0000, 0.5000), Th at (0.0000, 0.5000, 0.5000), As at (0.0000, 0.0000, 0.2497) and As at (0.0029, 0.5014, 0.7500).

For the energy relative to the elements, the calculation gives -1.50 eV/atom. The electronic total energy comes out at -6.70 eV/atom.


[12]
Computed, not measured: a relaxed structure of PmPr2Th3As6 at the GGA-PBE level of DFT.

It has space group C2/m (No. 12), with a = 18.613 Å, b = 4.272 Å, c = 8.526 Å, α = 90.00°, β = 103.23° and γ = 90.00°. The inequivalent atoms are Pm at (0.000, 0.000, 0.000), Pr at (0.166, 0.500, 0.333), Th at (0.000, 0.000, 0.500), Th at (0.167, 0.500, 0.833), As at (0.001, 0.500, 0.750), As at (0.165, 0.000, 0.586) and As at (0.167, 0.000, 0.079).

For the energy relative to the elements, the calculation gives -1.47 eV/atom. The electronic total energy comes out at -6.85 eV/atom.


[13]
Computed, not measured: a relaxed structure of PmPrTh2As4 at the GGA-PBE level of DFT.

It has space group P2/m (No. 10), with a = 7.374 Å, b = 4.269 Å, c = 7.390 Å, α = 90.00°, β = 109.59° and γ = 90.00°. The inequivalent atoms are Pm at (0.000, 0.000, 0.000), Pr at (0.000, 0.500, 0.500), Th at (0.500, 0.000, 0.500), Th at (0.500, 0.500, 0.000), As at (0.253, 0.500, 0.249) and As at (0.254, 0.000, 0.753).

For the energy relative to the elements, the calculation gives -1.47 eV/atom. The electronic total energy comes out at -6.84 eV/atom.


[14]
Computed, not measured: a relaxed structure of PmPr2TmAs4 at the GGA-PBE level of DFT.

It has space group P2/m (No. 10), with a = 7.325 Å, b = 4.235 Å, c = 7.328 Å, α = 90.00°, β = 109.48° and γ = 90.00°. The inequivalent atoms are Pm at (0.000, 0.000, 0.000), Pr at (0.500, 0.000, 0.500), Pr at (0.500, 0.500, 0.000), Tm at (0.000, 0.500, 0.500), As at (0.239, 0.000, 0.741) and As at (0.242, 0.500, 0.252).

For the energy relative to the elements, the calculation gives -1.50 eV/atom. The electronic total energy comes out at -6.17 eV/atom.


[15]
Computed, not measured: a relaxed structure of Pm2PrTm3As6 at the GGA-PBE level of DFT.

It has space group C2/m (No. 12), with a = 18.138 Å, b = 4.167 Å, c = 8.321 Å, α = 90.00°, β = 103.14° and γ = 90.00°. The inequivalent atoms are Pm at (0.167, 0.000, 0.334), Pr at (0.000, 0.500, 0.000), Tm at (0.000, 0.500, 0.500), Tm at (0.166, 0.000, 0.833), As at (0.002, 0.000, 0.741), As at (0.164, 0.500, 0.589) and As at (0.170, 0.500, 0.078).

For the energy relative to the elements, the calculation gives -1.50 eV/atom. The electronic total energy comes out at -6.13 eV/atom.


[16]
Computed, not measured: a relaxed structure of Pm3Pr2TmAs6 at the GGA-PBE level of DFT.

It has space group C2/m (No. 12), with a = 18.455 Å, b = 4.237 Å, c = 8.468 Å, α = 90.00°, β = 103.30° and γ = 90.00°. The inequivalent atoms are Pm at (0.000, 0.000, 0.000), Pm at (0.167, 0.500, 0.334), Pr at (0.165, 0.500, 0.831), Tm at (0.000, 0.000, 0.500), As at (0.002, 0.500, 0.258), As at (0.164, 0.000, 0.579) and As at (0.166, 0.000, 0.086).

For the energy relative to the elements, the calculation gives -1.50 eV/atom. The electronic total energy comes out at -6.18 eV/atom.


[17]
Computed, not measured: a relaxed structure of Pm2PrUAs4 at the GGA-PBE level of DFT.

It has space group F222 (No. 22), with a = 8.414 Å, b = 8.441 Å, c = 11.924 Å, α = 90.00°, β = 90.00° and γ = 90.00°. The inequivalent atoms are Pm at (0.000, 0.000, 0.000), Pm at (0.250, 0.250, 0.250), Pr at (0.000, 0.000, 0.500), U at (0.250, 0.250, 0.750), As at (0.000, 0.000, 0.248) and As at (0.250, 0.250, 0.508).

For the energy relative to the elements, the calculation gives -1.31 eV/atom. The electronic total energy comes out at -6.83 eV/atom.


[18]
Computed, not measured: a relaxed structure of Pm3Pr2UAs6 at the GGA-PBE level of DFT.

It has space group C2/m (No. 12), with a = 18.416 Å, b = 4.224 Å, c = 8.497 Å, α = 90.00°, β = 103.18° and γ = 90.00°. The inequivalent atoms are Pm at (0.000, 0.000, 0.000), Pm at (0.168, 0.500, 0.333), Pr at (0.167, 0.500, 0.836), U at (0.000, 0.000, 0.500), As at (0.001, 0.500, 0.261), As at (0.162, 0.000, 0.578) and As at (0.166, 0.000, 0.087).

For the energy relative to the elements, the calculation gives -1.38 eV/atom. The electronic total energy comes out at -6.63 eV/atom.


[19]
Computed, not measured: a relaxed structure of Pm3Pr2YAs6 at the GGA-PBE level of DFT.

It has space group C2/m (No. 12), with a = 18.496 Å, b = 4.247 Å, c = 8.487 Å, α = 90.00°, β = 103.29° and γ = 90.00°. The inequivalent atoms are Pm at (0.000, 0.000, 0.000), Pm at (0.167, 0.500, 0.334), Pr at (0.166, 0.500, 0.832), Y at (0.000, 0.000, 0.500), As at (0.001, 0.500, 0.255), As at (0.165, 0.000, 0.579) and As at (0.166, 0.000, 0.086).

For the energy relative to the elements, the calculation gives -1.52 eV/atom. The electronic total energy comes out at -6.36 eV/atom.


[20]
Computed, not measured: a relaxed structure of Pm2Pr3YAs6 at the GGA-PBE level of DFT.

It has space group C2/m (No. 12), with a = 18.541 Å, b = 4.258 Å, c = 8.508 Å, α = 90.00°, β = 103.25° and γ = 90.00°. The inequivalent atoms are Pm at (0.166, 0.000, 0.332), Pr at (0.000, 0.500, 0.500), Pr at (0.167, 0.000, 0.834), Y at (0.000, 0.500, 0.000), As at (0.001, 0.000, 0.243), As at (0.164, 0.500, 0.085) and As at (0.168, 0.500, 0.581).

For the energy relative to the elements, the calculation gives -1.51 eV/atom. The electronic total energy comes out at -6.36 eV/atom.


[21]
Computed, not measured: a relaxed structure of Pm2PrY3As6 at the GGA-PBE level of DFT.

It has space group C2/m (No. 12), with a = 18.271 Å, b = 4.196 Å, c = 8.382 Å, α = 90.00°, β = 103.20° and γ = 90.00°. The inequivalent atoms are Pm at (0.167, 0.000, 0.334), Pr at (0.000, 0.500, 0.000), Y at (0.000, 0.500, 0.500), Y at (0.167, 0.000, 0.833), As at (0.001, 0.000, 0.743), As at (0.165, 0.500, 0.587) and As at (0.169, 0.500, 0.080).

For the energy relative to the elements, the calculation gives -1.53 eV/atom. The electronic total energy comes out at -6.66 eV/atom.


[22]
Computed, not measured: a relaxed structure of Pm2PrZrAs4 at the GGA-PBE level of DFT.

It has space group P2/m (No. 10), with a = 7.190 Å, b = 4.153 Å, c = 7.199 Å, α = 90.00°, β = 109.26° and γ = 90.00°. The inequivalent atoms are Pm at (0.000, 0.000, 0.000), Pm at (0.000, 0.500, 0.500), Pr at (0.500, 0.000, 0.500), Zr at (0.500, 0.500, 0.000), As at (0.256, 0.500, 0.238) and As at (0.264, 0.000, 0.767).

For the energy relative to the elements, the calculation gives -1.39 eV/atom. The electronic total energy comes out at -6.57 eV/atom.


| no. | M_tot (μB per formula unit) |
| --- | --- |
| 1 | 0.0 |
| 2 | 0.0 |
| 3 | 0.0 |
| 4 | 0.0 |
| 5 | 0.0 |
| 6 | 0.0 |
| 7 | 0.0 |
| 8 | 0.0 |
| 9 | 0.0 |
| 10 | 0.0 |
| 11 | 0.0 |
| 12 | 0.0 |
| 13 | 0.0 |
| 14 | 0.0 |
| 15 | 0.0 |
| 16 | 0.0 |
| 17 | 2.5 |
| 18 | 2.3 |
| 19 | 0.0 |
| 20 | 0.0 |
| 21 | 0.0 |
| 22 | 0.0 |